Material: Ho2Mg2Ge3
Method: DFT, PBE
State: optimized geometry

Computed properties:
Final energy   -4.291 eV/atom
Space-group type   C2/m (12)

```
14
Lattice="4.2371 0.0000 0.9392 1.9923 7.5891 1.0392 0.0248 -0.2353 9.9152" Properties=species:S:1:pos:R:3 pbc="T T T"
Ho 1.4213 0.9394 3.6153
Ho 4.8330 6.4145 8.2784
Ho 2.2184 1.7300 10.0465
Ho 4.0359 5.6239 1.8472
Mg 0.6808 1.5095 6.9558
Mg 5.5735 5.8443 4.9378
Mg 2.7835 3.7870 7.4973
Mg 3.4708 3.5669 4.3964
Ge 2.2794 7.0033 9.7715
Ge 3.9749 0.3506 2.1222
Ge 1.7017 3.7211 2.3501
Ge 4.5526 3.6327 9.5435
Ge 3.1233 5.9268 5.9640
Ge 3.1309 1.4271 5.9297
```

Material: TcNiBi3
Method: DFT, PBE
State: optimized geometry

Computed properties:
Energy above the most stable polymorph in this dataset   0.057 eV per atom
Space-group type   Pm-3m (221)

```
5
Lattice="5.2611 0.0000 0.0000 0.0000 5.2611 0.0000 0.0000 0.0000 5.2611" Properties=species:S:1:pos:R:3 pbc="T T T"
Ni 2.6306 2.6306 2.6306
Bi 0.0000 2.6306 0.0000
Bi 0.0000 0.0000 2.6306
Bi 2.6306 0.0000 0.0000
Tc 0.0000 0.0000 0.0000
```

Material: BaLa2Ag
Method: DFT, PBE
State: optimized geometry

Computed properties:
Energy above the most stable polymorph in this dataset   0.137 eV per atom
Space-group type   P2/m (10)

```
4
Lattice="-0.3900 1.6793 5.1111 -3.9698 -0.8494 -0.0238 -0.4228 -6.3793 2.0638" Properties=species:S:1:pos:R:3 pbc="T T T"
Ba -3.4895 -4.5819 4.0855
Ag -1.2932 -0.9675 3.0655
La -0.1675 -0.3046 0.0873
La -2.0288 -3.3098 0.9327
```

Material: ZrGe2Rh3
Method: DFT, PBE
State: optimized geometry

Computed properties:
Final energy   -7.300 eV/atom
Space-group type   C2/m (12)

```
18
Lattice="3.9316 0.0000 0.0000 -1.9658 7.7731 -2.5518 0.0000 -0.0816 9.6465" Properties=species:S:1:pos:R:3 pbc="T T T"
Zr 0.0000 2.4214 5.8710
Zr 1.9658 5.2702 1.2236
Zr 0.0000 0.0000 0.0000
Ge 0.0000 2.9779 0.2410
Ge 1.9658 4.7136 6.8537
Ge 0.0000 7.0639 -0.2386
Ge 1.9658 0.6276 7.3333
Ge 0.0000 5.5943 3.4074
Ge 1.9658 2.0972 3.6873
Rh 0.0000 0.5629 2.9336
Rh 1.9658 7.1287 4.1611
Rh 0.0000 3.3342 2.6580
Rh 1.9658 4.3574 4.4367
Rh 1.9658 1.7273 1.2409
Rh 0.0000 5.9642 5.8538
Rh 1.9658 -0.0408 4.8232
Rh 0.0000 4.9269 -1.2197
Rh 1.9658 2.7646 8.3144
```